Record 1
Density functional theory data (GGA-PBEsol) for crystalline MgTlPb2 at its relaxed geometry.

Structure (extended XYZ):
```
4
Lattice="5.457 -1.702 0.000 5.457 1.702 0.000 -1.194 0.000 5.951" Properties=species:S:1:pos:R:3 pbc="T T T"
Mg 0.000 0.000 0.000
Tl 4.860 0.000 2.976
Pb 1.908 0.000 4.540
Pb 7.812 0.000 1.411
```

calculated total energy: -3.10 eV per atom
ΔE_f: -7 kJ/mol of formula units
SG: C2/m (12)

---

Record 2
Density functional theory data (GGA-PBEsol) for crystalline CsCaAl2 at its relaxed geometry.

Structure (extended XYZ):
```
4
Lattice="0.000 3.972 3.972 3.972 0.000 3.972 3.972 3.972 0.000" Properties=species:S:1:pos:R:3 pbc="T T T"
Cs 0.000 0.000 0.000
Ca 3.972 3.972 3.972
Al 1.986 1.986 1.986
Al 5.958 5.958 5.958
```

calculated total energy: -2.40 eV per atom
ΔE_f: 160 kJ/mol of formula units
SG: Fm-3m (225)

---

Record 3
Density functional theory data (GGA-PBEsol) for crystalline CoCuPt2 at its relaxed geometry.

Structure (extended XYZ):
```
4
Lattice="1.336 0.771 8.579 -1.336 0.771 8.579 0.000 -1.543 8.579" Properties=species:S:1:pos:R:3 pbc="T T T"
Co 0.000 0.000 0.000
Cu 0.000 0.000 19.116
Pt 0.000 0.000 6.518
Pt 0.000 0.000 12.675
```

calculated total energy: -6.49 eV per atom
ΔE_f: 5 kJ/mol of formula units
SG: R3m (160)

---

Record 4
Density functional theory data (GGA-PBEsol) for crystalline NbCuAg2Rh at its relaxed geometry.

Structure (extended XYZ):
```
5
Lattice="4.495 0.000 0.000 0.000 4.495 0.000 0.000 0.000 4.537" Properties=species:S:1:pos:R:3 pbc="T T T"
Nb 0.000 0.000 0.000
Cu 2.247 2.247 2.268
Ag 0.000 2.247 2.268
Ag 2.247 0.000 2.268
Rh 2.247 2.247 0.000
```

calculated total energy: -4.83 eV per atom
ΔE_f: 556 kJ/mol of formula units
SG: P4/mmm (123)

---

Record 5
Density functional theory data (GGA-PBEsol) for crystalline TlCrCo2 at its relaxed geometry.

Structure (extended XYZ):
```
4
Lattice="4.051 -1.390 0.000 4.051 1.390 0.000 -0.898 0.000 4.800" Properties=species:S:1:pos:R:3 pbc="T T T"
Tl 0.000 0.000 0.000
Cr 3.602 0.000 2.400
Co 1.312 0.000 3.325
Co 5.891 0.000 1.475
```

calculated total energy: -6.55 eV per atom
ΔE_f: 205 kJ/mol of formula units
SG: C2/m (12)

---

Record 6
Density functional theory data (GGA-PBEsol) for crystalline Mg2CrRh at its relaxed geometry.

Structure (extended XYZ):
```
4
Lattice="4.025 0.000 0.000 0.000 4.025 0.000 0.000 0.000 3.943" Properties=species:S:1:pos:R:3 pbc="T T T"
Mg 0.000 2.012 0.000
Mg 2.012 0.000 0.000
Cr 0.000 0.000 1.972
Rh 2.012 2.012 1.972
```

calculated total energy: -5.33 eV per atom
ΔE_f: 47 kJ/mol of formula units
SG: P4/mmm (123)

---

Record 7
Density functional theory data (GGA-PBEsol) for crystalline TaMnRh2 at its relaxed geometry.

Structure (extended XYZ):
```
4
Lattice="-2.015 2.015 3.534 2.015 -2.015 3.534 2.015 2.015 -3.534" Properties=species:S:1:pos:R:3 pbc="T T T"
Ta 0.000 0.000 0.000
Mn 0.000 0.000 3.534
Rh 2.015 0.000 1.767
Rh 0.000 2.015 1.767
```

calculated total energy: -9.98 eV per atom
ΔE_f: -129 kJ/mol of formula units
SG: I4/mmm (139)

---

Record 8
Density functional theory data (GGA-PBEsol) for crystalline SrZn2W at its relaxed geometry.

Structure (extended XYZ):
```
4
Lattice="-1.419 2.555 5.073 1.419 -2.555 5.073 1.419 2.555 -5.073" Properties=species:S:1:pos:R:3 pbc="T T T"
Sr 0.000 0.000 0.000
Zn 0.000 0.000 5.178
Zn 0.000 2.555 2.312
W 1.419 0.000 2.898
```

calculated total energy: -4.06 eV per atom
ΔE_f: 247 kJ/mol of formula units
SG: Imm2 (44)